[1]
TbPr2CdN | PBE | optimized geometry

Lattice parameters (Å, degrees): 5.1276 5.1276 4.8045 90.00 90.00 90.00
Fractional positions:
Tb 0.0000 0.0000 0.0000
Pr 0.0000 0.5000 0.5000
Pr 0.5000 0.0000 0.5000
Cd 0.5000 0.5000 0.0000
N 0.0000 0.0000 0.5000

E_form (uncorrected), meV per atom: -720

***

[2]
Na6MgPb2 | PBE | optimized geometry

Lattice parameters (Å, degrees): 10.9429 10.9429 10.9429 29.70 29.70 29.70
Fractional positions:
Na 0.0803 0.0803 0.0803
Na 0.2056 0.2056 0.2056
Na 0.3077 0.3077 0.3077
Na 0.6923 0.6923 0.6923
Na 0.7944 0.7944 0.7944
Na 0.9197 0.9197 0.9197
Mg 0.5000 0.5000 0.5000
Pb 0.4098 0.4098 0.4098
Pb 0.5902 0.5902 0.5902

ΔH_f (0 K), eV per atom: -0.10

***

no.,Fermi-level density of states (states/eV per cell)
1,4.63
2,3.65